A relaxed Li2Ti3VO8 crystal. Source: Alexandria, functional PBE with a Hubbard U.

D(E_F)	0.09	states/eV per atom
E above lowest polymorph	0.52	eV per formula unit

abc: 5.9509 5.9509 9.7967
angles: 90.00 90.00 120.00
Space group P6_3mc (No. 186)
Inequivalent atoms, fractional coordinates:
Li: 0.0000 0.0000 0.0000
Li: 0.3333 0.6667 0.3928
Ti: 0.1683 0.3365 0.7163
V: 0.3333 0.6667 0.9867
O: 0.0000 0.0000 0.3162
O: 0.0350 0.5175 0.8308
O: 0.1581 0.3162 0.1080
O: 0.3333 0.6667 0.6066